## w
Material: SrZn2GePt
Method: DFT, PBE
State: optimized geometry

Geometry as CIF:
```
data_SrZn2GePt
_chemical_formula_sum 'Sr1 Zn2 Ge1 Pt1'
_cell_length_a 4.886
_cell_length_b 4.886
_cell_length_c 4.914
_cell_angle_alpha 90.00
_cell_angle_beta 90.00
_cell_angle_gamma 90.00
_space_group_name_H-M_alt 'P 4/m m m'
_space_group_IT_number 123
_space_group_name_Hall '-P 4 2'
loop_
_atom_site_label
_atom_site_type_symbol
_atom_site_fract_x
_atom_site_fract_y
_atom_site_fract_z
_atom_site_occupancy
Sr1 Sr 0.000 0.000 0.000 1
Zn1 Zn 0.000 0.500 0.500 1
Ge1 Ge 0.500 0.500 0.000 1
Pt1 Pt 0.500 0.500 0.500 1
```

## x
Material: SrZn2GePt
Method: DFT, PBE
State: optimized geometry

Geometry as CIF:
```
data_SrZn2GePt
_chemical_formula_sum 'Sr2 Zn4 Ge2 Pt2'
_cell_length_a 4.381
_cell_length_b 4.427
_cell_length_c 10.491
_cell_angle_alpha 90.00
_cell_angle_beta 90.00
_cell_angle_gamma 90.00
_space_group_name_H-M_alt 'I m m 2'
_space_group_IT_number 44
_space_group_name_Hall 'I 2 -2'
loop_
_atom_site_label
_atom_site_type_symbol
_atom_site_fract_x
_atom_site_fract_y
_atom_site_fract_z
_atom_site_occupancy
Sr1 Sr 0.000 0.000 0.000 1
Zn1 Zn 0.000 0.000 0.377 1
Zn2 Zn 0.000 0.500 0.253 1
Ge1 Ge 0.000 0.000 0.625 1
Pt1 Pt 0.000 0.500 0.742 1
```

Most stable one: x, least stable one: w.